Compound: Li3VO
Source: the Alexandria database
Functional: PBE+U
Structure: relaxed

Values from the calculation:
VASP energy in Ry per atom: -0.2896
Total moment in μB/f.u.: 4.182
D(E_F) in states/eV/f.u.: 2.58

a b c (Å): 4.0815 4.0815 4.0815
angles (deg): 90.00 90.00 90.00
Site moments in Bohr magnetons follow the coordinates.
Sites, in units of the cell vectors:
1 V 0.5000 0.5000 0.5000  3.14
2 O 0.0000 0.0000 0.0000  0.05
3 Li 0.0000 0.5000 0.0000  0.04
4 Li 0.0000 0.0000 0.5000  0.04
5 Li 0.5000 0.0000 0.0000  0.04